1.
Ba6Li15Tl8 PBE optimized geometry; mass density = 5.1 g cm⁻³; magnetization = 0.0 μB per cell; DFT total energy = -64.89 eV/cell; crystal system = cubic; SG = Fm-3m; energy of formation from the pure elements = -0.20 eV per atom
1.0
0.0000 7.4781 7.4781
7.4781 0.0000 7.4781
7.4781 7.4781 0.0000
Ba Li Tl
6 15 8
Direct
0.2220 0.2220 0.7780
0.2220 0.7780 0.2220
0.2220 0.7780 0.7780
0.7780 0.2220 0.2220
0.7780 0.2220 0.7780
0.7780 0.7780 0.2220
0.0000 0.0000 0.5000
0.0000 0.5000 0.0000
0.0000 0.5000 0.5000
0.1794 0.1794 0.1794
0.1794 0.1794 0.4617
0.1794 0.4617 0.1794
0.4617 0.1794 0.1794
0.5000 0.0000 0.0000
0.5000 0.0000 0.5000
0.5000 0.5000 0.0000
0.5000 0.5000 0.5000
0.5383 0.8206 0.8206
0.8206 0.5383 0.8206
0.8206 0.8206 0.5383
0.8206 0.8206 0.8206
0.1102 0.6299 0.6299
0.3701 0.3701 0.3701
0.3701 0.3701 0.8898
0.3701 0.8898 0.3701
0.6299 0.1102 0.6299
0.6299 0.6299 0.1102
0.6299 0.6299 0.6299
0.8898 0.3701 0.3701

=====

2.
BiSb PBE optimized geometry; mass density = 8.0 g cm⁻³; E_form (uncorrected) = -0.01 eV per atom; distance to the lowest polymorph of the same formula = 0 meV per atom; magnetization = 0.0 μB per cell; DFT total energy = -8.02 eV/cell; crystal system = trigonal; SG = R3m
1.0
2.2450 1.2962 3.9383
-2.2450 1.2962 3.9383
0.0000 -2.5923 3.9383
Bi Sb
1 1
Direct
0.0000 0.0000 0.0000
0.5332 0.5332 0.5332

=====

3.
EuDyOs4 PBE optimized geometry; mass density = 16.2 g cm⁻³; magnetization = 5.8 μB per cell; DFT total energy = -60.18 eV/cell; crystal system = cubic; SG = F-43m; energy of formation from the pure elements = -0.06 eV per atom
1.0
0.0000 3.8068 3.8068
3.8068 0.0000 3.8068
3.8068 3.8068 0.0000
Eu Dy Os
1 1 4
Direct
0.0000 0.0000 0.0000
0.2500 0.2500 0.2500
0.1252 0.6249 0.6249
0.6249 0.1252 0.6249
0.6249 0.6249 0.1252
0.6249 0.6249 0.6249

=====

4.
Tm3ScAl4 PBE optimized geometry; mass density = 6.3 g cm⁻³; magnetization = 0.0 μB per cell; DFT total energy = -37.92 eV/cell; crystal system = tetragonal; SG = P4/mmm; energy of formation from the pure elements = -0.40 eV per atom
1.0
3.5024 0.0000 0.0000
0.0000 3.5024 0.0000
0.0000 0.0000 14.0868
Tm Sc Al
3 1 4
Direct
0.0000 0.0000 0.0000
0.0000 0.0000 0.2574
0.0000 0.0000 0.7426
0.0000 0.0000 0.5000
0.5000 0.5000 0.1291
0.5000 0.5000 0.3880
0.5000 0.5000 0.6120
0.5000 0.5000 0.8709

=====

5.
PtW2 PBE optimized geometry; mass density = 19.5 g cm⁻³; distance to the lowest polymorph of the same formula = 123 meV per atom; magnetization = 0.0 μB per cell; DFT total energy = -63.61 eV/cell; crystal system = orthorhombic; SG = Cmcm; energy of formation from the pure elements = 0.05 eV per atom
1.0
1.3471 -7.6774 0.0000
1.3471 7.6774 0.0000
0.0000 0.0000 4.6427
Pt W
2 4
Direct
0.2180 0.7820 0.7500
0.7820 0.2180 0.2500
0.1222 0.8778 0.2500
0.4508 0.5492 0.2500
0.5492 0.4508 0.7500
0.8778 0.1222 0.7500

=====

6.
HfTaMnCo2 PBE optimized geometry; mass density = 10.2 g cm⁻³; magnetization = 1.0 μB per cell; DFT total energy = -38.14 eV/cell; crystal system = tetragonal; SG = P4/mmm; energy of formation from the pure elements = 1.41 eV per atom
1.0
4.3767 0.0000 0.0000
0.0000 4.3767 0.0000
0.0000 0.0000 4.5411
Hf Ta Mn Co
1 1 1 2
Direct
0.0000 0.0000 0.0000
0.5000 0.5000 0.5000
0.0000 0.0000 0.5000
0.0000 0.5000 0.0000
0.5000 0.0000 0.0000

=====

7.
HfAg2Sn PBE optimized geometry; mass density = 10.6 g cm⁻³; magnetization = 0.0 μB per cell; DFT total energy = -20.06 eV/cell; crystal system = tetragonal; SG = P4/mmm; energy of formation from the pure elements = -0.10 eV per atom
1.0
4.1657 0.0000 0.0000
0.0000 4.1657 0.0000
0.0000 0.0000 4.6232
Hf Ag Sn
1 2 1
Direct
0.0000 0.0000 0.0000
0.0000 0.5000 0.5000
0.5000 0.0000 0.5000
0.5000 0.5000 0.0000

=====

8.
CuH3F PBE optimized geometry; mass density = 4.0 g cm⁻³; distance to the lowest polymorph of the same formula = 0 meV per atom; magnetization = 0.0 μB per cell; DFT total energy = -14.46 eV/cell; crystal system = cubic; SG = Pm-3m
1.0
3.2750 0.0000 0.0000
0.0000 3.2750 0.0000
0.0000 0.0000 3.2750
Cu H F
1 3 1
Direct
0.0000 0.0000 0.0000
0.0000 0.0000 0.5000
0.0000 0.5000 0.0000
0.5000 0.0000 0.0000
0.5000 0.5000 0.5000

=====

9.
BaSbTe2Ir PBE optimized geometry; mass density = 4.3 g cm⁻³; E_form (uncorrected) = 1.70 eV per atom; distance to the lowest polymorph of the same formula = 2087 meV per atom; magnetization = 2.7 μB per cell; DFT total energy = -12.71 eV/cell; crystal system = tetragonal; SG = P4/mmm
1.0
6.4095 0.0000 0.0000
0.0000 6.4095 0.0000
0.0000 0.0000 6.5791
Ba Sb Te Ir
1 1 2 1
Direct
0.0000 0.0000 0.0000
0.0000 0.0000 0.5000
0.0000 0.5000 0.0000
0.5000 0.0000 0.0000
0.5000 0.5000 0.5000

=====

10.
ScNiW2 PBE optimized geometry; mass density = 12.2 g cm⁻³; distance to the lowest polymorph of the same formula = 265 meV per atom; magnetization = 0.0 μB per cell; DFT total energy = -36.70 eV/cell; crystal system = orthorhombic; SG = Cmmm; energy of formation from the pure elements = 0.33 eV per atom
1.0
2.6429 -4.4835 0.0000
2.6429 4.4835 0.0000
0.0000 0.0000 2.7149
Sc Ni W
1 1 2
Direct
0.0000 0.0000 0.0000
0.5000 0.5000 0.0000
0.0000 0.5000 0.5000
0.5000 0.0000 0.5000

=====

11.
ScZn3Au4 PBE optimized geometry; mass density = 12.5 g cm⁻³; magnetization = 0.0 μB per cell; DFT total energy = -52.79 eV/cell; crystal system = orthorhombic; SG = Pmma; energy of formation from the pure elements = -0.39 eV per atom
1.0
9.1138 0.0000 0.0000
0.0000 6.6020 0.0000
0.0000 0.0000 4.5585
Sc Zn Au
2 6 8
Direct
0.0000 0.0000 0.0000
0.5000 0.0000 0.0000
0.0000 0.5000 0.0000
0.2500 0.0000 0.4990
0.2500 0.5000 0.4985
0.5000 0.5000 0.0000
0.7500 0.0000 0.5010
0.7500 0.5000 0.5015
0.0000 0.2604 0.5000
0.0000 0.7396 0.5000
0.2500 0.2605 0.9986
0.2500 0.7395 0.9986
0.5000 0.2604 0.5000
0.5000 0.7396 0.5000
0.7500 0.2605 0.0014
0.7500 0.7395 0.0014

=====

12.
Sr3CdC PBE optimized geometry; mass density = 3.9 g cm⁻³; distance to the lowest polymorph of the same formula = 0 meV per atom; magnetization = 0.9 μB per cell; DFT total energy = -14.09 eV/cell; crystal system = cubic; SG = Pm-3m; energy of formation from the pure elements = 0.22 eV per atom
1.0
5.4819 0.0000 0.0000
0.0000 5.4819 0.0000
0.0000 0.0000 5.4819
Sr Cd C
3 1 1
Direct
0.0000 0.0000 0.5000
0.0000 0.5000 0.0000
0.5000 0.0000 0.0000
0.5000 0.5000 0.5000
0.0000 0.0000 0.0000

=====

13.
K2Na5Ga4 PBE optimized geometry; mass density = 2.0 g cm⁻³; magnetization = 0.0 μB per cell; DFT total energy = -20.82 eV/cell; crystal system = monoclinic; SG = C2/m; energy of formation from the pure elements = 0.01 eV per atom
1.0
7.3350 -3.4691 0.0000
7.3350 3.4691 0.0000
-4.8342 0.0000 7.8510
K Na Ga
2 5 4
Direct
0.2439 0.2439 0.1228
0.7561 0.7561 0.8772
0.1408 0.6497 0.6091
0.3503 0.8592 0.3909
0.5000 0.5000 0.0000
0.6497 0.1408 0.6091
0.8592 0.3503 0.3909
0.0869 0.0869 0.6536
0.2716 0.2716 0.7210
0.7284 0.7284 0.2790
0.9131 0.9131 0.3464

=====

14.
NaScRh4 PBE optimized geometry; mass density = 7.9 g cm⁻³; magnetization = 0.0 μB per cell; DFT total energy = -38.69 eV/cell; crystal system = cubic; SG = F-43m; energy of formation from the pure elements = -0.27 eV per atom
1.0
0.0000 3.6868 3.6868
3.6868 0.0000 3.6868
3.6868 3.6868 0.0000
Na Sc Rh
1 1 4
Direct
0.0000 0.0000 0.0000
0.2500 0.2500 0.2500
0.1251 0.6250 0.6250
0.6250 0.1251 0.6250
0.6250 0.6250 0.1251
0.6250 0.6250 0.6250

=====

15.
AlHgW PBE optimized geometry; mass density = 12.9 g cm⁻³; distance to the lowest polymorph of the same formula = 94 meV per atom; magnetization = 0.0 μB per cell; DFT total energy = -15.55 eV/cell; crystal system = tetragonal; SG = I4mm; energy of formation from the pure elements = 0.48 eV per atom
1.0
-1.4210 1.4210 6.5439
1.4210 -1.4210 6.5439
1.4210 1.4210 -6.5439
Al Hg W
1 1 1
Direct
0.0000 0.0000 0.0000
0.3242 0.3242 0.0000
0.6452 0.6452 0.0000

=====

16.
K3SrPt PBE optimized geometry; mass density = 2.6 g cm⁻³; distance to the lowest polymorph of the same formula = 0 meV per atom; magnetization = 0.0 μB per cell; DFT total energy = -10.08 eV/cell; crystal system = cubic; SG = Pm-3m; energy of formation from the pure elements = 0.19 eV per atom
1.0
6.3519 0.0000 0.0000
0.0000 6.3519 0.0000
0.0000 0.0000 6.3519
K Sr Pt
3 1 1
Direct
0.0000 0.0000 0.5000
0.0000 0.5000 0.0000
0.5000 0.0000 0.0000
0.5000 0.5000 0.5000
0.0000 0.0000 0.0000

=====

17.
Cd6CuPt10 PBE optimized geometry; mass density = 14.9 g cm⁻³; magnetization = 0.0 μB per cell; DFT total energy = -73.09 eV/cell; crystal system = trigonal; SG = P-31m; energy of formation from the pure elements = -0.18 eV per atom
1.0
7.8177 0.0000 0.0000
-3.9088 6.7703 0.0000
0.0000 0.0000 5.6491
Cd Cu Pt
6 1 10
Direct
0.0000 0.3210 0.1533
0.0000 0.6790 0.8467
0.3210 0.0000 0.1533
0.3210 0.3210 0.8467
0.6790 0.0000 0.8467
0.6790 0.6790 0.1533
0.0000 0.0000 0.5000
0.0000 0.3301 0.6422
0.0000 0.6699 0.3578
0.3301 0.0000 0.6422
0.3301 0.3301 0.3578
0.3333 0.6667 0.0000
0.3333 0.6667 0.5000
0.6667 0.3333 0.0000
0.6667 0.3333 0.5000
0.6699 0.0000 0.3578
0.6699 0.6699 0.6422

=====

18.
Y3TmRu2 PBE optimized geometry; mass density = 7.3 g cm⁻³; distance to the lowest polymorph of the same formula = 20 meV per atom; magnetization = 0.0 μB per cell; DFT total energy = -43.64 eV/cell; crystal system = monoclinic; SG = C2/m; energy of formation from the pure elements = -0.20 eV per atom
1.0
7.8331 -2.1605 0.0000
7.8331 2.1605 0.0000
-1.2592 0.0000 4.2678
Y Tm Ru
3 1 2
Direct
0.0000 0.0000 0.0000
0.3151 0.3151 0.8150
0.6849 0.6849 0.1850
0.5000 0.5000 0.5000
0.1277 0.1277 0.6274
0.8723 0.8723 0.3726

=====

19.
SrLiHg3Pd PBE optimized geometry; mass density = 9.2 g cm⁻³; magnetization = 0.0 μB per cell; DFT total energy = -23.06 eV/cell; crystal system = orthorhombic; SG = Cmcm; energy of formation from the pure elements = -0.31 eV per atom
1.0
3.4704 -6.8842 0.0000
3.4704 6.8842 0.0000
0.0000 0.0000 6.0848
Sr Li Hg Pd
2 2 6 2
Direct
0.2052 0.7948 0.7500
0.7948 0.2052 0.2500
0.4388 0.5612 0.7500
0.5612 0.4388 0.2500
0.2144 0.2144 0.0000
0.2144 0.2144 0.5000
0.3436 0.6564 0.2500
0.6564 0.3436 0.7500
0.7856 0.7856 0.0000
0.7856 0.7856 0.5000
0.1443 0.8557 0.2500
0.8557 0.1443 0.7500

=====

20.
TbHo8Er6 PBE optimized geometry; mass density = 8.8 g cm⁻³; magnetization = 0.0 μB per cell; DFT total energy = -66.64 eV/cell; crystal system = trigonal; SG = R-3; energy of formation from the pure elements = 0.13 eV per atom
1.0
4.4658 2.5784 6.7848
-4.4658 2.5784 6.7848
0.0000 -5.1567 6.7848
Tb Ho Er
1 8 6
Direct
0.0000 0.0000 0.0000
0.1101 0.7209 0.7435
0.2565 0.8899 0.2791
0.2791 0.2565 0.8899
0.4234 0.4234 0.4234
0.5766 0.5766 0.5766
0.7209 0.7435 0.1101
0.7435 0.1101 0.7209
0.8899 0.2791 0.2565
0.1095 0.5399 0.2292
0.2292 0.1095 0.5399
0.4601 0.7708 0.8905
0.5399 0.2292 0.1095
0.7708 0.8905 0.4601
0.8905 0.4601 0.7708

=====

21.
CsBa2CaCu PBE optimized geometry; mass density = 3.2 g cm⁻³; magnetization = 0.0 μB per cell; DFT total energy = -10.32 eV/cell; crystal system = tetragonal; SG = P4/mmm; energy of formation from the pure elements = 0.09 eV per atom
1.0
6.5806 0.0000 0.0000
0.0000 6.5806 0.0000
0.0000 0.0000 6.0585
Cs Ba Ca Cu
1 2 1 1
Direct
0.0000 0.0000 0.0000
0.0000 0.5000 0.5000
0.5000 0.0000 0.5000
0.5000 0.5000 0.0000
0.5000 0.5000 0.5000

=====

22.
Rb4SmY3Se8 PBE optimized geometry; mass density = 4.6 g cm⁻³; E_form (uncorrected) = -1.75 eV per atom; magnetization = 0.0 μB per cell; DFT total energy = -83.78 eV/cell; crystal system = trigonal; SG = R-3m
1.0
4.2655 2.4627 7.9981
-4.2655 2.4627 7.9981
0.0000 -4.9254 7.9981
Rb Sm Y Se
4 1 3 8
Direct
0.0000 0.0000 0.0000
0.0000 0.5000 0.5000
0.5000 0.0000 0.5000
0.5000 0.5000 0.0000
0.5000 0.5000 0.5000
0.0000 0.0000 0.5000
0.0000 0.5000 0.0000
0.5000 0.0000 0.0000
0.2284 0.7344 0.7344
0.2319 0.2319 0.2319
0.2656 0.2656 0.7716
0.2656 0.7716 0.2656
0.7344 0.2284 0.7344
0.7344 0.7344 0.2284
0.7681 0.7681 0.7681
0.7716 0.2656 0.2656

=====

23.
AcDyCuBi PBE optimized geometry; mass density = 9.5 g cm⁻³; magnetization = 0.0 μB per cell; DFT total energy = -17.80 eV/cell; crystal system = cubic; SG = F-43m; energy of formation from the pure elements = -0.28 eV per atom
1.0
0.0000 3.8712 3.8712
3.8712 0.0000 3.8712
3.8712 3.8712 0.0000
Ac Dy Cu Bi
1 1 1 1
Direct
0.0000 0.0000 0.0000
0.5000 0.5000 0.5000
0.7500 0.7500 0.7500
0.2500 0.2500 0.2500

=====

24.
Hf5Tc PBE optimized geometry; mass density = 13.3 g cm⁻³; magnetization = 0.0 μB per cell; DFT total energy = -60.32 eV/cell; crystal system = orthorhombic; SG = Cmmm; energy of formation from the pure elements = -0.03 eV per atom
1.0
1.6640 -7.4510 0.0000
1.6640 7.4510 0.0000
0.0000 0.0000 4.9961
Hf Tc
5 1
Direct
0.0000 0.0000 0.0000
0.1474 0.8526 0.5000
0.3315 0.6685 0.0000
0.6685 0.3315 0.0000
0.8526 0.1474 0.5000
0.5000 0.5000 0.5000